<P>
Computed, not measured: a relaxed structure of H4RhPb at the GGA-PBE level of DFT.

a b c (Å): 5.3279 5.3279 5.6348
angles (deg): 97.08 97.08 120.88
Sites, in units of the cell vectors:
H1 0.0728 0.8602 0.5300
H2 0.1398 0.9272 0.9700
H3 0.2282 0.4089 0.8286
H4 0.4089 0.2282 0.3286
H5 0.5911 0.7718 0.6714
H6 0.7718 0.5911 0.1714
H7 0.8602 0.0728 0.0300
H8 0.9272 0.1398 0.4700
Rh1 0.0451 0.9549 0.2500
Rh2 0.9549 0.0451 0.7500
Pb1 0.3626 0.6374 0.2500
Pb2 0.6374 0.3626 0.7500

Computed properties:
M_tot: 0.000 μB per formula unit
calculated density: 7.8 g cm⁻³

***

<Q>
Computed, not measured: a relaxed structure of H4RhPb at the GGA-PBE level of DFT.

a b c (Å): 6.2820 6.2820 4.6942
angles (deg): 103.96 103.96 49.06
Sites, in units of the cell vectors:
H1 0.1083 0.6912 0.4305
H2 0.2025 0.2025 0.2214
H3 0.2158 0.7842 0.0000
H4 0.3088 0.8917 0.5695
H5 0.6912 0.1083 0.4305
H6 0.7842 0.2158 0.0000
H7 0.7975 0.7975 0.7786
H8 0.8917 0.3088 0.5695
Rh1 0.0722 0.0722 0.2992
Rh2 0.9278 0.9278 0.7008
Pb1 0.3112 0.3112 0.7877
Pb2 0.6888 0.6888 0.2123

Computed properties:
M_tot: 0.000 μB per formula unit
calculated density: 7.7 g cm⁻³

***

Stability check: which of them is least stable? <Q>.

***

<P>
Computed, not measured: a relaxed structure of HRuRh2Pb at the GGA-PBE level of DFT.

a b c (Å): 4.0262 4.0262 4.1286
angles (deg): 90.00 90.00 90.00
Sites, in units of the cell vectors:
H1 0.0000 0.0000 0.0000
Ru1 0.0000 0.0000 0.5000
Rh1 0.0000 0.5000 0.0000
Rh2 0.5000 0.0000 0.0000
Pb1 0.5000 0.5000 0.5000

Computed properties:
M_tot: 0.000 μB per formula unit
calculated density: 12.8 g cm⁻³

***

<Q>
Computed, not measured: a relaxed structure of HRuRh2Pb at the GGA-PBE level of DFT.

a b c (Å): 4.9260 4.9260 3.2966
angles (deg): 90.00 90.00 90.00
Sites, in units of the cell vectors:
H1 0.0000 0.0000 0.0000
Ru1 0.0000 0.0000 0.5000
Rh1 0.0000 0.5000 0.5000
Rh2 0.5000 0.0000 0.5000
Pb1 0.5000 0.5000 0.0000

Computed properties:
M_tot: 0.000 μB per formula unit
calculated density: 10.7 g cm⁻³

***

Stability check: which of them is least stable? <Q>.

***

<P>
Computed, not measured: a relaxed structure of H3RuPb at the GGA-PBE level of DFT.

a b c (Å): 3.7246 3.7246 3.7246
angles (deg): 90.00 90.00 90.00
Sites, in units of the cell vectors:
H1 0.0000 0.0000 0.5000
H2 0.0000 0.5000 0.0000
H3 0.5000 0.0000 0.0000
Ru1 0.0000 0.0000 0.0000
Pb1 0.5000 0.5000 0.5000

Computed properties:
M_tot: 0.000 μB per formula unit
calculated density: 10.0 g cm⁻³

***

<Q>
Computed, not measured: a relaxed structure of H3RuPb at the GGA-PBE level of DFT.

a b c (Å): 4.0012 4.0012 4.0012
angles (deg): 90.00 90.00 90.00
Sites, in units of the cell vectors:
H1 0.0000 0.0000 0.5000
H2 0.0000 0.5000 0.0000
H3 0.5000 0.0000 0.0000
Ru1 0.5000 0.5000 0.5000
Pb1 0.0000 0.0000 0.0000

Computed properties:
M_tot: 2.504 μB per formula unit
calculated density: 8.1 g cm⁻³

***

Stability check: which of them is least stable? <Q>.

***

<P>
Computed, not measured: a relaxed structure of HRuPb2 at the GGA-PBE level of DFT.

a b c (Å): 4.7176 4.7176 4.7176
angles (deg): 60.00 60.00 60.00
Sites, in units of the cell vectors:
H1 0.0000 0.0000 0.0000
Ru1 0.5000 0.5000 0.5000
Pb1 0.2500 0.2500 0.2500
Pb2 0.7500 0.7500 0.7500

Computed properties:
M_tot: 0.293 μB per formula unit
calculated density: 11.6 g cm⁻³

***

<Q>
Computed, not measured: a relaxed structure of HRuPb2 at the GGA-PBE level of DFT.

a b c (Å): 7.3102 7.3102 7.3102
angles (deg): 136.54 136.54 63.15
Sites, in units of the cell vectors:
H1 0.0000 0.0000 0.0000
H2 0.7500 0.2500 0.5000
Ru1 0.2500 0.7500 0.5000
Ru2 0.5000 0.5000 0.0000
Pb1 0.0702 0.6250 0.9452
Pb2 0.3750 0.3202 0.4452
Pb3 0.6798 0.1250 0.0548
Pb4 0.8750 0.9298 0.5548

Computed properties:
M_tot: 0.000 μB per formula unit
calculated density: 9.4 g cm⁻³

***

Stability check: which of them is least stable? <Q>.

***

<P>
Computed, not measured: a relaxed structure of HRu3Pb at the GGA-PBE level of DFT.

a b c (Å): 4.0590 4.0590 4.0590
angles (deg): 90.00 90.00 90.00
Sites, in units of the cell vectors:
H1 0.0000 0.0000 0.0000
Ru1 0.0000 0.0000 0.5000
Ru2 0.0000 0.5000 0.0000
Ru3 0.5000 0.0000 0.0000
Pb1 0.5000 0.5000 0.5000

Computed properties:
M_tot: 2.069 μB per formula unit
calculated density: 12.7 g cm⁻³

***

<Q>
Computed, not measured: a relaxed structure of HRu3Pb at the GGA-PBE level of DFT.

a b c (Å): 5.0607 5.0607 5.0607
angles (deg): 90.00 90.00 90.00
Sites, in units of the cell vectors:
H1 0.0000 0.0000 0.0000
Ru1 0.0000 0.5000 0.5000
Ru2 0.5000 0.0000 0.5000
Ru3 0.5000 0.5000 0.0000
Pb1 0.5000 0.5000 0.5000

Computed properties:
M_tot: 5.004 μB per formula unit
calculated density: 6.6 g cm⁻³

***

Stability check: which of them is least stable? <Q>.

***

<P>
Computed, not measured: a relaxed structure of HPbS2 at the GGA-PBE level of DFT.

a b c (Å): 7.8516 7.8516 7.8516
angles (deg): 24.38 24.38 24.38
Sites, in units of the cell vectors:
H1 0.0000 0.0000 0.0000
Pb1 0.5000 0.5000 0.5000
S1 0.3790 0.3790 0.3790
S2 0.6210 0.6210 0.6210

Computed properties:
M_tot: 0.000 μB per formula unit
calculated density: 6.2 g cm⁻³

***

<Q>
Computed, not measured: a relaxed structure of HPbS2 at the GGA-PBE level of DFT.

a b c (Å): 6.6109 6.6109 6.6109
angles (deg): 130.78 130.78 72.16
Sites, in units of the cell vectors:
H1 0.0000 0.0000 0.0000
H2 0.7500 0.2500 0.5000
Pb1 0.2500 0.7500 0.5000
Pb2 0.5000 0.5000 0.0000
S1 0.0208 0.6250 0.8958
S2 0.3750 0.2708 0.3958
S3 0.7292 0.1250 0.1042
S4 0.8750 0.9792 0.6042

Computed properties:
M_tot: 0.000 μB per formula unit
calculated density: 5.6 g cm⁻³

***

<R>
Computed, not measured: a relaxed structure of HPbS2 at the GGA-PBE level of DFT.

a b c (Å): 6.6976 6.6976 6.6976
angles (deg): 36.39 36.39 36.39
Sites, in units of the cell vectors:
H1 0.0000 0.0000 0.0000
Pb1 0.5000 0.5000 0.5000
S1 0.0864 0.0864 0.0864
S2 0.9136 0.9136 0.9136

Computed properties:
M_tot: 0.000 μB per formula unit
calculated density: 4.8 g cm⁻³

***

Stability check: which of them is least stable? <P>.

***

<P>
Computed, not measured: a relaxed structure of SbH2Pb2 at the GGA-PBE level of DFT.

a b c (Å): 4.8825 4.8825 7.0167
angles (deg): 108.17 108.17 45.28
Sites, in units of the cell vectors:
Sb1 0.0000 0.0000 0.0000
H1 0.3439 0.3439 0.4677
H2 0.6561 0.6561 0.5323
Pb1 0.2153 0.2153 0.7116
Pb2 0.7847 0.7847 0.2884

Computed properties:
M_tot: 0.000 μB per formula unit
calculated density: 8.0 g cm⁻³

***

<Q>
Computed, not measured: a relaxed structure of SbH2Pb2 at the GGA-PBE level of DFT.

a b c (Å): 7.1049 7.1049 7.1049
angles (deg): 148.04 148.04 45.82
Sites, in units of the cell vectors:
Sb1 0.0000 0.0000 0.0000
H1 0.2500 0.7500 0.5000
H2 0.7500 0.2500 0.5000
Pb1 0.3542 0.3542 0.0000
Pb2 0.6458 0.6458 0.0000

Computed properties:
M_tot: 0.000 μB per formula unit
calculated density: 8.9 g cm⁻³

***

Stability check: which of them is least stable? <P>.

***

<P>
Computed, not measured: a relaxed structure of SbHPb2 at the GGA-PBE level of DFT.

a b c (Å): 3.4111 3.4111 10.0235
angles (deg): 103.61 103.61 62.36
Sites, in units of the cell vectors:
Sb1 0.0000 0.0000 0.0000
H1 0.7746 0.7746 0.5448
Pb1 0.2577 0.2577 0.7202
Pb2 0.6816 0.6816 0.3331

Computed properties:
M_tot: 0.000 μB per formula unit
calculated density: 9.0 g cm⁻³

***

<Q>
Computed, not measured: a relaxed structure of SbHPb2 at the GGA-PBE level of DFT.

a b c (Å): 5.2504 5.2504 5.2504
angles (deg): 60.00 60.00 60.00
Sites, in units of the cell vectors:
Sb1 0.0000 0.0000 0.0000
H1 0.5000 0.5000 0.5000
Pb1 0.2500 0.2500 0.2500
Pb2 0.7500 0.7500 0.7500

Computed properties:
M_tot: 0.000 μB per formula unit
calculated density: 8.7 g cm⁻³

***

Stability check: which of them is least stable? <Q>.

***

<P>
Computed, not measured: a relaxed structure of Sb2HPb at the GGA-PBE level of DFT.

a b c (Å): 7.1776 7.1776 7.1776
angles (deg): 130.60 130.60 72.45
Sites, in units of the cell vectors:
Sb1 0.3750 0.2367 0.3617
Sb2 0.7633 0.1250 0.1383
Sb3 0.8750 0.0133 0.6383
Sb4 0.9867 0.6250 0.8617
H1 0.0000 0.0000 0.0000
H2 0.7500 0.2500 0.5000
Pb1 0.2500 0.7500 0.5000
Pb2 0.5000 0.5000 0.0000

Computed properties:
M_tot: 0.000 μB per formula unit
calculated density: 7.2 g cm⁻³

***

<Q>
Computed, not measured: a relaxed structure of Sb2HPb at the GGA-PBE level of DFT.

a b c (Å): 5.1507 5.1507 5.1507
angles (deg): 60.00 60.00 60.00
Sites, in units of the cell vectors:
Sb1 0.2500 0.2500 0.2500
Sb2 0.7500 0.7500 0.7500
H1 0.0000 0.0000 0.0000
Pb1 0.5000 0.5000 0.5000

Computed properties:
M_tot: 0.000 μB per formula unit
calculated density: 7.8 g cm⁻³

***

Stability check: which of them is least stable? <Q>.

***

<P>
Computed, not measured: a relaxed structure of Sb2H2Pb at the GGA-PBE level of DFT.

a b c (Å): 6.7496 6.7496 6.7496
angles (deg): 146.55 146.55 48.02
Sites, in units of the cell vectors:
Sb1 0.1525 0.1525 0.0000
Sb2 0.8475 0.8475 0.0000
H1 0.2500 0.7500 0.5000
H2 0.7500 0.2500 0.5000
Pb1 0.5000 0.5000 0.0000

Computed properties:
M_tot: 0.000 μB per formula unit
calculated density: 8.1 g cm⁻³

***

<Q>
Computed, not measured: a relaxed structure of Sb2H2Pb at the GGA-PBE level of DFT.

a b c (Å): 8.0140 8.0140 3.2086
angles (deg): 90.00 90.00 90.00
Sites, in units of the cell vectors:
Sb1 0.1259 0.3741 0.0000
Sb2 0.3741 0.8741 0.0000
Sb3 0.6259 0.1259 0.0000
Sb4 0.8741 0.6259 0.0000
H1 0.0968 0.5968 0.5000
H2 0.4032 0.0968 0.5000
H3 0.5968 0.9032 0.5000
H4 0.9032 0.4032 0.5000
Pb1 0.0000 0.0000 0.0000
Pb2 0.5000 0.5000 0.0000

Computed properties:
M_tot: 0.000 μB per formula unit
calculated density: 7.3 g cm⁻³

***

Stability check: which of them is least stable? <Q>.

***

<P>
Computed, not measured: a relaxed structure of Tl2SbHPb at the GGA-PBE level of DFT.

a b c (Å): 5.4313 5.4313 4.2964
angles (deg): 90.00 90.00 90.00
Sites, in units of the cell vectors:
Tl1 0.0000 0.5000 0.0000
Tl2 0.5000 0.0000 0.0000
Sb1 0.0000 0.0000 0.5000
H1 0.0000 0.0000 0.0000
Pb1 0.5000 0.5000 0.5000

Computed properties:
M_tot: 0.000 μB per formula unit
calculated density: 9.7 g cm⁻³

***

<Q>
Computed, not measured: a relaxed structure of Tl2SbHPb at the GGA-PBE level of DFT.

a b c (Å): 4.9587 4.9587 5.2286
angles (deg): 90.00 90.00 90.00
Sites, in units of the cell vectors:
Tl1 0.0000 0.5000 0.0000
Tl2 0.5000 0.0000 0.0000
Sb1 0.0000 0.0000 0.5000
H1 0.5000 0.5000 0.0000
Pb1 0.5000 0.5000 0.5000

Computed properties:
M_tot: 0.000 μB per formula unit
calculated density: 9.5 g cm⁻³

***

Stability check: which of them is least stable? <P>.

***

<P>
Computed, not measured: a relaxed structure of Sc2HPb at the GGA-PBE level of DFT.

a b c (Å): 4.8467 4.8467 4.8467
angles (deg): 60.00 60.00 60.00
Sites, in units of the cell vectors:
Sc1 0.2500 0.2500 0.2500
Sc2 0.7500 0.7500 0.7500
H1 0.0000 0.0000 0.0000
Pb1 0.5000 0.5000 0.5000

Computed properties:
M_tot: 0.999 μB per formula unit
calculated density: 6.1 g cm⁻³

***

<Q>
Computed, not measured: a relaxed structure of Sc2HPb at the GGA-PBE level of DFT.

a b c (Å): 8.6666 8.6666 8.6666
angles (deg): 22.32 22.32 22.32
Sites, in units of the cell vectors:
Sc1 0.1197 0.1197 0.1197
Sc2 0.8803 0.8803 0.8803
H1 0.5000 0.5000 0.5000
Pb1 0.0000 0.0000 0.0000

Computed properties:
M_tot: 0.000 μB per formula unit
calculated density: 6.0 g cm⁻³

***

Stability check: which of them is least stable? <P>.